No. 1
BaTa2Bi: optimized geometry, PBE-GGA.

Unit cell a=8.6758 b=8.6758 c=6.8725 alpha=50.86 beta=50.86 gamma=90.00
Element x y z (fractional)
Ba  0.5000  0.5000  0.0000
Ba  0.2500  0.7500  0.5000
Bi  0.0000  0.0000  0.0000
Bi  0.7500  0.2500  0.5000
Ta  0.6755  0.1250  0.2500
Ta  0.0745  0.6250  0.2500
Ta  0.3750  0.3245  0.7500
Ta  0.8750  0.9255  0.7500

DFT total energy	-6.0209	eV per atom
space-group type	I-42d

***

No. 2
Cs2Er2PtO6: optimized geometry, PBE-GGA.

Unit cell a=5.8205 b=5.8205 c=7.1856 alpha=97.28 beta=97.28 gamma=119.59
Element x y z (fractional)
Cs  0.8343  0.1657  0.0000
Cs  0.1657  0.8343  0.0000
Er  0.3347  0.6653  0.5000
Er  0.6653  0.3347  0.5000
Pt  0.0000  0.0000  0.5000
O  0.7383  0.7383  0.6558
O  0.0467  0.3614  0.6545
O  0.2617  0.2617  0.3442
O  0.3614  0.0467  0.6545
O  0.9533  0.6386  0.3455
O  0.6386  0.9533  0.3455

raw formation energy	-2.11	eV per atom
DFT total energy	-6.3490	eV per atom
space-group type	C2/m

***

Here are the calculated total magnetization numbers, same order: 0.00 0.00 (μB per atom).
Here are the calculated volume numbers, same order: 29.15 18.62 (A^3/atom).